[1]
## HfZrReP2 (GGA-PBE)

Data for a geometry-optimized HfZrReP2 structure.

Lattice parameters (Å, degrees): 4.7441 5.2259 4.7441 90.00 90.00 90.00
Element x y z (fractional)
Re (0.5000, 0.5000, 0.5000)
P (0.5000, 0.0000, 0.0000)
P (0.0000, 0.0000, 0.5000)
Hf (0.0000, 0.5000, 0.0000)
Zr (0.0000, 0.0000, 0.0000)

Output
The space-group type is P4/mmm, No. 123. For the total energy, the calculation gives -6.68 eV per atom. As for the density of states at the Fermi level: 6.42 states/eV per cell.



[2]
## K2CuRe (GGA-PBE)

Data for a geometry-optimized K2CuRe structure.

Lattice parameters (Å, degrees): 11.9833 11.9833 11.9833 14.50 14.50 14.50
Site moments in Bohr magnetons follow the coordinates.
Element x y z (fractional)
Cu (0.7642, 0.7642, 0.7642)  0.04
K (0.2340, 0.2340, 0.2340)  0.01
K (0.0167, 0.0167, 0.0167)  0.01
Re (0.4852, 0.4852, 0.4852)  0.38

Output
The space-group type is R3m, No. 160. For the total energy, the calculation gives -3.47 eV per atom. As for the density of states at the Fermi level: 4.77 states/eV per cell.



[3]
## TbZrHg (GGA-PBE)

Data for a geometry-optimized TbZrHg structure.

Lattice parameters (Å, degrees): 5.0899 5.0899 6.6794 90.00 90.00 120.00
Element x y z (fractional)
Hg (0.6667, 0.3333, 0.0879)
Hg (0.3333, 0.6667, 0.9121)
Tb (0.0000, 0.0000, 0.7453)
Tb (0.0000, 0.0000, 0.2547)
Zr (0.6667, 0.3333, 0.5441)
Zr (0.3333, 0.6667, 0.4559)

Output
The space-group type is P-3m1, No. 164. For the total energy, the calculation gives -4.57 eV per atom. As for the density of states at the Fermi level: 3.78 states/eV per cell.



Looking at energy relative to the elements for the records above, in order, we have 806 470 -22 kJ/mol of formula units.